A plane-wave DFT calculation with PBE-GGA was carried out for an optimized crystal structure of CsRbICl.

The total DFT energy (no corrections) is -11.81 eV per cell.

POSCAR file:
```
CsRbICl
1.0
0.000 4.389 4.389
4.389 0.000 4.389
4.389 4.389 0.000
Cs Rb I Cl
1 1 1 1
Direct
0.000 0.000 0.000
0.500 0.500 0.500
0.750 0.750 0.750
0.250 0.250 0.250
```

=====

A plane-wave DFT calculation with PBE-GGA was carried out for an optimized crystal structure of Dy6YHg2.

The total DFT energy (no corrections) is -36.60 eV per cell.

POSCAR file:
```
Dy6YHg2
1.0
6.291 -1.863 0.000
6.291 1.863 0.000
-3.836 0.000 11.185
Dy Y Hg
6 1 2
Direct
0.016 0.016 0.337
0.311 0.311 0.124
0.312 0.312 0.415
0.688 0.688 0.585
0.689 0.689 0.876
0.984 0.984 0.663
0.000 0.000 0.000
0.356 0.356 0.793
0.644 0.644 0.207
```

=====

A plane-wave DFT calculation with PBE-GGA was carried out for an optimized crystal structure of SrMnBe2.

For the energy above the lowest structure with this stoichiometry, the calculation gives 0.359 eV per atom.

POSCAR file:
```
SrMnBe2
1.0
2.988 0.000 0.000
0.000 2.988 0.000
0.000 0.000 7.405
Sr Mn Be
1 1 2
Direct
0.000 0.000 0.000
0.500 0.500 0.639
0.000 0.000 0.462
0.500 0.500 0.326
```

=====

A plane-wave DFT calculation with PBE-GGA was carried out for an optimized crystal structure of In2CoNi.

For the energy above the lowest structure with this stoichiometry, the calculation gives 0.400 eV per atom.

POSCAR file:
```
In2CoNi
1.0
-3.485 3.485 2.886
3.485 -3.485 2.886
3.485 3.485 -2.886
In Co Ni
4 2 2
Direct
0.123 0.125 0.498
0.375 0.877 0.002
0.627 0.625 0.502
0.875 0.373 0.998
0.250 0.750 0.500
0.500 0.500 0.000
0.000 0.000 0.000
0.750 0.250 0.500
```

=====

A plane-wave DFT calculation with PBE-GGA was carried out for an optimized crystal structure of Zn4MoSe.

The total DFT energy (no corrections) is -17.56 eV per cell.

POSCAR file:
```
Zn4MoSe
1.0
0.000 3.593 3.593
3.593 0.000 3.593
3.593 3.593 0.000
Zn Mo Se
4 1 1
Direct
0.123 0.123 0.123
0.123 0.123 0.630
0.123 0.630 0.123
0.630 0.123 0.123
0.750 0.750 0.750
0.500 0.500 0.500
```

=====

A plane-wave DFT calculation with PBE-GGA was carried out for an optimized crystal structure of Pm2ZnSn.

For the energy above the lowest structure with this stoichiometry, the calculation gives 0.000 eV per atom.

POSCAR file:
```
Pm2ZnSn
1.0
0.000 3.757 3.757
3.757 0.000 3.757
3.757 3.757 0.000
Pm Zn Sn
2 1 1
Direct
0.250 0.250 0.250
0.750 0.750 0.750
0.000 0.000 0.000
0.500 0.500 0.500
```

=====

A plane-wave DFT calculation with PBE-GGA was carried out for an optimized crystal structure of SrBeW2.

The total DFT energy (no corrections) is -26.46 eV per cell.

POSCAR file:
```
SrBeW2
1.0
2.789 -5.150 0.000
2.789 5.150 0.000
-1.076 0.000 2.551
Sr Be W
1 1 2
Direct
0.000 0.000 0.000
0.500 0.500 0.000
0.000 0.500 0.500
0.500 0.000 0.500
```

=====

A plane-wave DFT calculation with PBE-GGA was carried out for an optimized crystal structure of Ho4NiBi.

The total DFT energy (no corrections) is -61.11 eV per cell.

POSCAR file:
```
Ho4NiBi
1.0
6.026 0.000 0.000
0.000 6.612 0.000
-2.975 0.000 8.176
Ho Ni Bi
8 2 2
Direct
0.140 0.250 0.077
0.264 0.750 0.361
0.313 0.501 0.796
0.313 0.999 0.796
0.687 0.001 0.204
0.687 0.499 0.204
0.736 0.250 0.639
0.860 0.750 0.923
0.321 0.750 0.060
0.679 0.250 0.940
0.169 0.250 0.448
0.831 0.750 0.552
```

=====

A plane-wave DFT calculation with PBE-GGA was carried out for an optimized crystal structure of KHfB.

For the energy above the lowest structure with this stoichiometry, the calculation gives 0.836 eV per atom.

POSCAR file:
```
KHfB
1.0
3.923 0.000 0.000
-1.961 3.397 0.000
0.000 0.000 6.050
K Hf B
1 1 1
Direct
0.000 0.000 0.000
0.667 0.333 0.500
0.333 0.667 0.500
```

=====

A plane-wave DFT calculation with PBE-GGA was carried out for an optimized crystal structure of U2Si4Os5.

The total DFT energy (no corrections) is -103.90 eV per cell.

POSCAR file:
```
U2Si4Os5
1.0
0.000 4.980 6.374
2.923 0.000 6.374
2.923 4.980 0.000
U Si Os
2 4 5
Direct
0.104 0.104 0.896
0.896 0.896 0.104
0.218 0.501 0.499
0.499 0.782 0.218
0.501 0.218 0.782
0.782 0.499 0.501
0.000 0.000 0.500
0.250 0.250 0.250
0.500 0.500 0.000
0.500 0.500 0.500
0.750 0.750 0.750
```

=====

A plane-wave DFT calculation with PBE-GGA was carried out for an optimized crystal structure of RbTePtI2.

For the energy above the lowest structure with this stoichiometry, the calculation gives 1.543 eV per atom.

POSCAR file:
```
RbTePtI2
1.0
6.713 0.000 0.000
0.000 6.713 0.000
0.000 0.000 6.742
Rb Te Pt I
1 1 1 2
Direct
0.000 0.000 0.000
0.000 0.000 0.500
0.500 0.500 0.500
0.000 0.500 0.000
0.500 0.000 0.000
```

=====

A plane-wave DFT calculation with PBE-GGA was carried out for an optimized crystal structure of Mg2ZrAu2.

For the energy above the lowest structure with this stoichiometry, the calculation gives 0.106 eV per atom.

POSCAR file:
```
Mg2ZrAu2
1.0
-1.973 1.973 6.466
1.973 -1.973 6.466
1.973 1.973 -6.466
Mg Zr Au
2 1 2
Direct
0.250 0.750 0.500
0.750 0.250 0.500
0.000 0.000 0.000
0.396 0.396 0.000
0.604 0.604 0.000
```

=====

Record-wise N(E_F) values, in states/eV per cell: 0.00 9.18 2.77 5.55 4.29 2.50 3.41 11.21 3.05 6.25 15.05 3.73